A) First-principles (PBE) data for an optimized crystal structure of CeEu2Er, as listed in the Alexandria database. Values from VASP.

## Properties
Space group: R-3m, No. 166

Geometry as Quantum ESPRESSO input:
```
&SYSTEM
  ibrav = 0, nat = 4, ntyp = 3
/
ATOMIC_SPECIES
Eu 151.96 Eu.upf
Ce 140.12 Ce.upf
Er 167.26 Er.upf
CELL_PARAMETERS angstrom
-0.343 0.082 3.506
2.512 -1.381 2.049
6.679 10.870 2.170
ATOMIC_POSITIONS crystal
Eu 0.913 0.913 0.262
Eu 0.087 0.087 0.738
Ce 0.000 0.000 0.000
Er 0.500 0.500 0.500
```


B) First-principles (PBE) data for an optimized crystal structure of CeEu2Er, as listed in the Alexandria database. Values from VASP.

## Properties
Space group: P4/mmm, No. 123

Geometry as Quantum ESPRESSO input:
```
&SYSTEM
  ibrav = 0, nat = 4, ntyp = 3
/
ATOMIC_SPECIES
Eu 151.96 Eu.upf
Ce 140.12 Ce.upf
Er 167.26 Er.upf
CELL_PARAMETERS angstrom
-0.854 -3.877 -0.495
5.541 -0.978 -1.904
1.725 -1.092 5.578
ATOMIC_POSITIONS crystal
Eu 0.000 0.000 0.500
Eu 0.000 0.500 0.000
Ce 0.500 0.000 0.000
Er 0.500 0.500 0.500
```


Result of the stability comparison: B) is the most stable of them.


A) First-principles (PBE) data for an optimized crystal structure of CeEr2Ga, as listed in the Alexandria database. Values from VASP.

## Properties
Space group: Fm-3m, No. 225

Geometry as Quantum ESPRESSO input:
```
&SYSTEM
  ibrav = 0, nat = 4, ntyp = 3
/
ATOMIC_SPECIES
Ga 69.72 Ga.upf
Ce 140.12 Ce.upf
Er 167.26 Er.upf
CELL_PARAMETERS angstrom
-0.891 -2.431 4.518
-1.387 -5.019 0.027
3.336 -3.614 1.714
ATOMIC_POSITIONS crystal
Ga 0.000 0.000 0.000
Ce 0.500 0.500 0.500
Er 0.250 0.250 0.250
Er 0.750 0.750 0.750
```


B) First-principles (PBE) data for an optimized crystal structure of CeEr2Ga, as listed in the Alexandria database. Values from VASP.

## Properties
Space group: P4/mmm, No. 123

Geometry as Quantum ESPRESSO input:
```
&SYSTEM
  ibrav = 0, nat = 4, ntyp = 3
/
ATOMIC_SPECIES
Ga 69.72 Ga.upf
Ce 140.12 Ce.upf
Er 167.26 Er.upf
CELL_PARAMETERS angstrom
4.528 0.000 0.000
0.000 4.734 0.000
0.000 0.000 4.734
ATOMIC_POSITIONS crystal
Ga 0.500 0.000 0.000
Ce 0.500 0.500 0.500
Er 0.000 0.000 0.500
Er 0.000 0.500 0.000
```


C) First-principles (PBE) data for an optimized crystal structure of CeEr2Ga, as listed in the Alexandria database. Values from VASP.

## Properties
Space group: R3m, No. 160

Geometry as Quantum ESPRESSO input:
```
&SYSTEM
  ibrav = 0, nat = 4, ntyp = 3
/
ATOMIC_SPECIES
Ce 140.12 Ce.upf
Er 167.26 Er.upf
Ga 69.72 Ga.upf
CELL_PARAMETERS angstrom
4.914 0.000 0.000
2.457 4.256 0.000
2.457 1.419 5.500
ATOMIC_POSITIONS crystal
Ce 0.490 0.490 0.531
Er 0.048 0.048 0.856
Er 0.275 0.275 0.176
Ga 0.687 0.687 0.938
```


D) First-principles (PBE) data for an optimized crystal structure of CeEr2Ga, as listed in the Alexandria database. Values from VASP.

## Properties
Space group: P4/mmm, No. 123

Geometry as Quantum ESPRESSO input:
```
&SYSTEM
  ibrav = 0, nat = 4, ntyp = 3
/
ATOMIC_SPECIES
Ga 69.72 Ga.upf
Ce 140.12 Ce.upf
Er 167.26 Er.upf
CELL_PARAMETERS angstrom
-1.798 0.489 -2.912
2.787 -0.847 -1.863
-2.481 -8.422 0.117
ATOMIC_POSITIONS crystal
Ga 0.500 0.500 0.000
Ce 0.500 0.500 0.500
Er 0.000 0.000 0.788
Er 0.000 0.000 0.212
```


Result of the stability comparison: D) is the most stable of them.


A) First-principles (PBE) data for an optimized crystal structure of Ce2ErGa2, as listed in the Alexandria database. Values from VASP.

## Properties
Space group: P4/mbm, No. 127

Geometry as Quantum ESPRESSO input:
```
&SYSTEM
  ibrav = 0, nat = 10, ntyp = 3
/
ATOMIC_SPECIES
Ce 140.12 Ce.upf
Er 167.26 Er.upf
Ga 69.72 Ga.upf
CELL_PARAMETERS angstrom
4.420 0.000 0.000
0.000 7.674 0.000
0.000 0.000 7.674
ATOMIC_POSITIONS crystal
Ce 0.500 0.170 0.670
Ce 0.500 0.670 0.830
Ce 0.500 0.830 0.330
Ce 0.500 0.330 0.170
Er 0.000 0.000 0.000
Er 0.000 0.500 0.500
Ga 0.000 0.377 0.877
Ga 0.000 0.877 0.623
Ga 0.000 0.623 0.123
Ga 0.000 0.123 0.377
```


B) First-principles (PBE) data for an optimized crystal structure of Ce2ErGa2, as listed in the Alexandria database. Values from VASP.

## Properties
Space group: P2_1/m, No. 11

Geometry as Quantum ESPRESSO input:
```
&SYSTEM
  ibrav = 0, nat = 10, ntyp = 3
/
ATOMIC_SPECIES
Ce 140.12 Ce.upf
Er 167.26 Er.upf
Ga 69.72 Ga.upf
CELL_PARAMETERS angstrom
-0.795 -3.659 2.069
6.043 -0.439 1.545
-4.405 5.032 7.208
ATOMIC_POSITIONS crystal
Ce 0.250 0.804 0.845
Ce 0.750 0.196 0.155
Ce 0.250 0.367 0.450
Ce 0.750 0.633 0.550
Er 0.250 0.746 0.248
Er 0.750 0.254 0.752
Ga 0.250 0.968 0.575
Ga 0.750 0.032 0.425
Ga 0.250 0.357 0.981
Ga 0.750 0.643 0.019
```


Result of the stability comparison: A) is the most stable of them.


A) First-principles (PBE) data for an optimized crystal structure of CeErInGa, as listed in the Alexandria database. Values from VASP.

## Properties
Space group: P4mm, No. 99

Geometry as Quantum ESPRESSO input:
```
&SYSTEM
  ibrav = 0, nat = 4, ntyp = 4
/
ATOMIC_SPECIES
Ce 140.12 Ce.upf
Er 167.26 Er.upf
In 114.82 In.upf
Ga 69.72 Ga.upf
CELL_PARAMETERS angstrom
-2.677 2.055 -0.486
-0.811 -1.725 -2.827
-4.858 -5.241 4.593
ATOMIC_POSITIONS crystal
Ce 0.500 0.500 0.126
Er 0.500 0.500 0.588
In 0.000 0.000 0.849
Ga 0.000 0.000 0.365
```


B) First-principles (PBE) data for an optimized crystal structure of CeErInGa, as listed in the Alexandria database. Values from VASP.

## Properties
Space group: F-43m, No. 216

Geometry as Quantum ESPRESSO input:
```
&SYSTEM
  ibrav = 0, nat = 4, ntyp = 4
/
ATOMIC_SPECIES
In 114.82 In.upf
Ga 69.72 Ga.upf
Ce 140.12 Ce.upf
Er 167.26 Er.upf
CELL_PARAMETERS angstrom
-2.880 4.332 0.631
-2.375 2.191 -4.125
-5.216 -0.232 -0.449
ATOMIC_POSITIONS crystal
In 0.750 0.750 0.750
Ga 0.250 0.250 0.250
Ce 0.500 0.500 0.500
Er 0.000 0.000 0.000
```


Result of the stability comparison: A) is the most stable of them.


A) First-principles (PBE) data for an optimized crystal structure of CeGdEr2, as listed in the Alexandria database. Values from VASP.

## Properties
Space group: Fm-3m, No. 225

Geometry as Quantum ESPRESSO input:
```
&SYSTEM
  ibrav = 0, nat = 4, ntyp = 3
/
ATOMIC_SPECIES
Gd 157.25 Gd.upf
Ce 140.12 Ce.upf
Er 167.26 Er.upf
CELL_PARAMETERS angstrom
-1.291 1.999 5.101
-3.995 -2.503 3.075
1.406 -2.917 4.604
ATOMIC_POSITIONS crystal
Gd 0.500 0.500 0.500
Ce 0.000 0.000 0.000
Er 0.250 0.250 0.250
Er 0.750 0.750 0.750
```


B) First-principles (PBE) data for an optimized crystal structure of CeGdEr2, as listed in the Alexandria database. Values from VASP.

## Properties
Space group: P4/mmm, No. 123

Geometry as Quantum ESPRESSO input:
```
&SYSTEM
  ibrav = 0, nat = 4, ntyp = 3
/
ATOMIC_SPECIES
Gd 157.25 Gd.upf
Ce 140.12 Ce.upf
Er 167.26 Er.upf
CELL_PARAMETERS angstrom
3.531 0.000 0.000
0.000 3.531 0.000
0.000 0.000 9.908
ATOMIC_POSITIONS crystal
Gd 0.500 0.500 0.500
Ce 0.500 0.500 0.000
Er 0.000 0.000 0.756
Er 0.000 0.000 0.244
```


Result of the stability comparison: B) is the most stable of them.


A) First-principles (PBE) data for an optimized crystal structure of CeGdEr, as listed in the Alexandria database. Values from VASP.

## Properties
Space group: P3m1, No. 156

Geometry as Quantum ESPRESSO input:
```
&SYSTEM
  ibrav = 0, nat = 3, ntyp = 3
/
ATOMIC_SPECIES
Gd 157.25 Gd.upf
Ce 140.12 Ce.upf
Er 167.26 Er.upf
CELL_PARAMETERS angstrom
-3.418 -0.586 0.562
1.340 -0.380 -3.225
1.689 -8.248 1.672
ATOMIC_POSITIONS crystal
Gd 0.000 0.000 0.995
Ce 0.333 0.667 0.666
Er 0.667 0.333 0.339
```


B) First-principles (PBE) data for an optimized crystal structure of CeGdEr, as listed in the Alexandria database. Values from VASP.

## Properties
Space group: I4mm, No. 107

Geometry as Quantum ESPRESSO input:
```
&SYSTEM
  ibrav = 0, nat = 3, ntyp = 3
/
ATOMIC_SPECIES
Gd 157.25 Gd.upf
Ce 140.12 Ce.upf
Er 167.26 Er.upf
CELL_PARAMETERS angstrom
-0.219 -1.319 3.259
3.493 0.287 0.351
-2.471 7.356 0.906
ATOMIC_POSITIONS crystal
Gd 0.329 0.329 0.657
Ce 0.666 0.666 0.333
Er 0.005 0.005 0.010
```


Result of the stability comparison: A) is the most stable of them.


A) First-principles (PBE) data for an optimized crystal structure of Ce2ErGe2, as listed in the Alexandria database. Values from VASP.

## Properties
Space group: P2_1/m, No. 11

Geometry as Quantum ESPRESSO input:
```
&SYSTEM
  ibrav = 0, nat = 10, ntyp = 3
/
ATOMIC_SPECIES
Ce 140.12 Ce.upf
Er 167.26 Er.upf
Ge 72.64 Ge.upf
CELL_PARAMETERS angstrom
-3.564 3.101 -0.840
-3.513 -3.078 3.543
4.202 6.332 5.541
ATOMIC_POSITIONS crystal
Ce 0.250 0.730 0.871
Ce 0.750 0.270 0.129
Ce 0.250 0.369 0.484
Ce 0.750 0.631 0.516
Er 0.250 0.774 0.253
Er 0.750 0.226 0.747
Ge 0.250 0.922 0.608
Ge 0.750 0.078 0.392
Ge 0.250 0.265 0.950
Ge 0.750 0.735 0.050
```


B) First-principles (PBE) data for an optimized crystal structure of Ce2ErGe2, as listed in the Alexandria database. Values from VASP.

## Properties
Space group: P4/mbm, No. 127

Geometry as Quantum ESPRESSO input:
```
&SYSTEM
  ibrav = 0, nat = 10, ntyp = 3
/
ATOMIC_SPECIES
Ce 140.12 Ce.upf
Er 167.26 Er.upf
Ge 72.64 Ge.upf
CELL_PARAMETERS angstrom
-1.565 -3.898 -0.915
6.424 -1.681 -3.823
3.109 -2.759 6.437
ATOMIC_POSITIONS crystal
Ce 0.500 0.170 0.670
Ce 0.500 0.670 0.830
Ce 0.500 0.830 0.330
Ce 0.500 0.330 0.170
Er 0.000 0.000 0.000
Er 0.000 0.500 0.500
Ge 0.000 0.370 0.870
Ge 0.000 0.870 0.630
Ge 0.000 0.630 0.130
Ge 0.000 0.130 0.370
```


Result of the stability comparison: B) is the most stable of them.


A) First-principles (PBE) data for an optimized crystal structure of Ce2ErGe, as listed in the Alexandria database. Values from VASP.

## Properties
Space group: P4/mmm, No. 123

Geometry as Quantum ESPRESSO input:
```
&SYSTEM
  ibrav = 0, nat = 4, ntyp = 3
/
ATOMIC_SPECIES
Ge 72.64 Ge.upf
Ce 140.12 Ce.upf
Er 167.26 Er.upf
CELL_PARAMETERS angstrom
-3.747 -1.297 0.404
0.191 -1.677 -3.611
2.290 -5.748 2.790
ATOMIC_POSITIONS crystal
Ge 0.500 0.500 0.500
Ce 0.000 0.000 0.698
Ce 0.000 0.000 0.302
Er 0.500 0.500 0.000
```


B) First-principles (PBE) data for an optimized crystal structure of Ce2ErGe, as listed in the Alexandria database. Values from VASP.

## Properties
Space group: R-3m, No. 166

Geometry as Quantum ESPRESSO input:
```
&SYSTEM
  ibrav = 0, nat = 4, ntyp = 3
/
ATOMIC_SPECIES
Ge 72.64 Ge.upf
Ce 140.12 Ce.upf
Er 167.26 Er.upf
CELL_PARAMETERS angstrom
-1.995 0.099 2.530
-3.066 -0.940 -0.327
1.278 -10.906 3.489
ATOMIC_POSITIONS crystal
Ge 0.500 0.500 0.500
Ce 0.093 0.093 0.721
Ce 0.907 0.907 0.279
Er 0.000 0.000 0.000
```


Result of the stability comparison: A) is the most stable of them.